AgN2F8: optimized geometry, GGA-PBE.

Structure (POSCAR):
```
AgN2F8
1.0
3.942 -3.707 0.000
3.942 3.707 0.000
-1.776 0.000 6.348
Ag N F
1 2 8
Direct
0.000 0.000 0.000
0.225 0.225 0.611
0.775 0.775 0.389
0.164 0.792 0.201
0.208 0.836 0.799
0.317 0.317 0.466
0.348 0.348 0.794
0.652 0.652 0.206
0.683 0.683 0.534
0.792 0.164 0.201
0.836 0.208 0.799
```

Calculated density: 2.58 Mg/m³
Total energy: -3.55 eV/atom
Volume: 16.9 Å³/atom
Space-group type: C2/m